P:
Computed, not measured: a geometry-optimized Li6Ag2Pt structure at the PBE level of DFT.

Calculated values
V: 175.4 Å³/f.u.
D(E_F): 0.3048 states/eV per atom
Spin magnetization: 0.0 μB per formula unit

Structure (CIF):
```
data_Li6Ag2Pt
_chemical_formula_sum 'Li12 Ag4 Pt2'
_space_group_name_H-M_alt 'C 1 2/m 1'
_space_group_IT_number 12
_cell_length_a 13.802
_cell_length_b 6.185
_cell_length_c 4.320
_cell_angle_alpha 90.00
_cell_angle_beta 107.97
_cell_angle_gamma 90.00
loop_
_space_group_symop_operation_xyz
'x,y,z'
'-x,-y,-z'
'-x,y,-z'
'x,-y,z'
'x+1/2,y+1/2,z'
'-x+1/2,-y+1/2,-z'
'-x+1/2,y+1/2,-z'
'x+1/2,-y+1/2,z'
loop_
_atom_site_label
_atom_site_fract_x
_atom_site_fract_y
_atom_site_fract_z
Li1 0.000 0.227 0.000
Li2 0.157 0.237 0.655
Ag1 0.167 0.500 0.165
Pt1 0.000 0.000 0.500
```


Q:
Computed, not measured: a geometry-optimized Li6Ag2Pt structure at the PBE level of DFT.

Calculated values
V: 136.8 Å³/f.u.
D(E_F): 0.4425 states/eV per atom
Spin magnetization: 0.0 μB per formula unit

Structure (CIF):
```
data_Li6Ag2Pt
_chemical_formula_sum 'Li6 Ag2 Pt1'
_space_group_name_H-M_alt 'P 6/m m m'
_space_group_IT_number 191
_space_group_name_Hall '-P 6 2'
_cell_length_a 7.5480
_cell_length_b 7.5480
_cell_length_c 2.7720
_cell_angle_alpha 90.00
_cell_angle_beta 90.00
_cell_angle_gamma 120.00
loop_
_atom_site_label
_atom_site_fract_x
_atom_site_fract_y
_atom_site_fract_z
Li1 0.0000 0.3238 0.0000
Ag1 0.3333 0.6667 0.5000
Pt1 0.0000 0.0000 0.5000
```


Among the structures shown above, Q is the most stable, with the second-best lying 182 meV/atom higher.